Entry 1:
Here is a geometry-optimized UCd2Bi structure from the Alexandria database. Energies are from GGA-PBE.

Cell: 4.512 4.512 5.103 Å, 90.00 90.00 90.00°
Sites, in units of the cell vectors:
U1 0.000 0.000 0.000
Cd1 0.000 0.500 0.500
Cd2 0.500 0.000 0.500
Bi1 0.500 0.500 0.000

Results
Raw total energy, eV per atom: -4.18
ΔE_f, eV/atom: 0.07

=====

Entry 2:
Here is a geometry-optimized U2CdBi5 structure from the Alexandria database. Energies are from GGA-PBE.

Cell: 6.700 13.382 5.052 Å, 90.00 90.00 90.00°
Sites, in units of the cell vectors:
U1 0.193 0.138 0.000
U2 0.307 0.638 0.000
U3 0.693 0.362 0.000
U4 0.807 0.862 0.000
Cd1 0.000 0.500 0.500
Cd2 0.500 0.000 0.500
Bi1 0.000 0.000 0.500
Bi2 0.055 0.742 0.500
Bi3 0.197 0.391 0.000
Bi4 0.303 0.891 0.000
Bi5 0.445 0.242 0.500
Bi6 0.500 0.500 0.500
Bi7 0.555 0.758 0.500
Bi8 0.697 0.109 0.000
Bi9 0.803 0.609 0.000
Bi10 0.945 0.258 0.500

Results
Raw total energy, eV per atom: -5.34
ΔE_f, eV/atom: 0.02